# 1
VASP calculation (PBE) on a geometry-optimized Tm4NiB13 structure.

symmetry: P4/mnc
ΔE_f: -514 meV/atom
total magnetic moment: 0.000 μB per formula unit
uncorrected energy: -239.46 eV for the cell shown

a = 7.2568 Å, b = 7.2568 Å, c = 6.8058 Å
α = 90.00°, β = 90.00°, γ = 90.00°
Last column: nearest neighbours and their distance in Å.
Fractional coordinates of all 36 atoms:
Tm (0.1801, 0.3156, 0.0000)  13 B 2.53-2.71, 1 Ni 2.68
Tm (0.1844, 0.3199, 0.5000)  13 B 2.53-2.71, 1 Ni 2.68
Tm (0.3156, 0.8199, 0.0000)  13 B 2.53-2.71, 1 Ni 2.68
Tm (0.3199, 0.8156, 0.5000)  13 B 2.53-2.71, 1 Ni 2.68
Tm (0.6801, 0.1844, 0.5000)  13 B 2.53-2.71, 1 Ni 2.68
Tm (0.6844, 0.1801, 0.0000)  13 B 2.53-2.71, 1 Ni 2.68
Tm (0.8156, 0.6801, 0.5000)  13 B 2.53-2.71, 1 Ni 2.68
Tm (0.8199, 0.6844, 0.0000)  13 B 2.53-2.71, 1 Ni 2.68
Ni (0.0000, 0.0000, 0.5000)  8 B 2.16
Ni (0.5000, 0.5000, 0.0000)  8 B 2.16
B (0.0000, 0.0000, 0.0000)  8 B 2.09
B (0.0399, 0.8290, 0.2431)  3 B 1.76-1.80
B (0.0399, 0.8290, 0.7569)  3 B 1.76-1.80
B (0.0916, 0.5916, 0.2500)  3 B 1.76-1.88
B (0.0916, 0.5916, 0.7500)  3 B 1.76-1.88
B (0.1710, 0.0399, 0.2431)  3 B 1.76-1.80
B (0.1710, 0.0399, 0.7569)  3 B 1.76-1.80
B (0.3290, 0.5399, 0.2569)  3 B 1.76-1.80
B (0.3290, 0.5399, 0.7431)  3 B 1.76-1.80
B (0.4084, 0.0916, 0.2500)  3 B 1.76-1.88
B (0.4084, 0.0916, 0.7500)  3 B 1.76-1.88
B (0.4601, 0.3290, 0.2569)  3 B 1.76-1.80
B (0.4601, 0.3290, 0.7431)  3 B 1.76-1.80
B (0.5000, 0.5000, 0.5000)  8 B 2.09
B (0.5399, 0.6710, 0.2569)  3 B 1.76-1.80
B (0.5399, 0.6710, 0.7431)  3 B 1.76-1.80
B (0.5916, 0.9084, 0.2500)  3 B 1.76-1.88
B (0.5916, 0.9084, 0.7500)  3 B 1.76-1.88
B (0.6710, 0.4601, 0.2569)  3 B 1.76-1.80
B (0.6710, 0.4601, 0.7431)  3 B 1.76-1.80
B (0.8290, 0.9601, 0.2431)  3 B 1.76-1.80
B (0.8290, 0.9601, 0.7569)  3 B 1.76-1.80
B (0.9084, 0.4084, 0.2500)  3 B 1.76-1.88
B (0.9084, 0.4084, 0.7500)  3 B 1.76-1.88
B (0.9601, 0.1710, 0.2431)  3 B 1.76-1.80
B (0.9601, 0.1710, 0.7569)  3 B 1.76-1.80

# 2
VASP calculation (PBE) on a geometry-optimized TmNi22B6 structure.

symmetry: Fm-3m
ΔE_f: -217 meV/atom
total magnetic moment: 0.928 μB per formula unit
uncorrected energy: -178.01 eV for the cell shown

a = 7.4688 Å, b = 7.4688 Å, c = 7.4688 Å
α = 60.00°, β = 60.00°, γ = 60.00°
Last column: nearest neighbours and their distance in Å.
Fractional coordinates of all 29 atoms:
Tm (0.0000, 0.0000, 0.0000)  12 Ni 2.58, 6 B 2.86
Ni (0.0000, 0.0000, 0.3448)  2 B 2.10, 1 Ni 2.32
Ni (0.0000, 0.0000, 0.6552)  2 B 2.10, 1 Ni 2.32
Ni (0.0000, 0.3448, 0.0000)  2 B 2.10, 1 Ni 2.32
Ni (0.0000, 0.3448, 0.6552)  2 B 2.10, 1 Ni 2.32
Ni (0.0000, 0.6552, 0.0000)  2 B 2.10, 1 Ni 2.32
Ni (0.0000, 0.6552, 0.3448)  2 B 2.10, 1 Ni 2.32
Ni (0.1475, 0.6175, 0.6175)  3 B 2.11
Ni (0.2500, 0.2500, 0.2500)  4 Ni 2.42
Ni (0.3448, 0.0000, 0.0000)  2 B 2.10, 1 Ni 2.32
Ni (0.3448, 0.0000, 0.6552)  2 B 2.10, 1 Ni 2.32
Ni (0.3448, 0.6552, 0.0000)  2 B 2.10, 1 Ni 2.32
Ni (0.3825, 0.3825, 0.3825)  3 B 2.11
Ni (0.3825, 0.3825, 0.8525)  3 B 2.11
Ni (0.3825, 0.8525, 0.3825)  3 B 2.11
Ni (0.6175, 0.1475, 0.6175)  3 B 2.11
Ni (0.6175, 0.6175, 0.1475)  3 B 2.11
Ni (0.6175, 0.6175, 0.6175)  3 B 2.11
Ni (0.6552, 0.0000, 0.0000)  2 B 2.10, 1 Ni 2.32
Ni (0.6552, 0.0000, 0.3448)  2 B 2.10, 1 Ni 2.32
Ni (0.6552, 0.3448, 0.0000)  2 B 2.10, 1 Ni 2.32
Ni (0.7500, 0.7500, 0.7500)  4 Ni 2.42
Ni (0.8525, 0.3825, 0.3825)  3 B 2.11
B (0.2711, 0.2711, 0.7289)  8 Ni 2.10-2.11
B (0.2711, 0.7289, 0.2711)  8 Ni 2.10-2.11
B (0.2711, 0.7289, 0.7289)  8 Ni 2.10-2.11
B (0.7289, 0.2711, 0.2711)  8 Ni 2.10-2.11
B (0.7289, 0.2711, 0.7289)  8 Ni 2.10-2.11
B (0.7289, 0.7289, 0.2711)  8 Ni 2.10-2.11

# 3
VASP calculation (PBE) on a geometry-optimized TmZnNi6B structure.

symmetry: Imma
ΔE_f: -118 meV/atom
total magnetic moment: 0.000 μB per formula unit
uncorrected energy: -96.34 eV for the cell shown

a = 7.0259 Å, b = 7.0259 Å, c = 7.0259 Å
α = 132.55°, β = 112.12°, γ = 86.98°
Last column: nearest neighbours and their distance in Å.
Fractional coordinates of all 18 atoms:
Tm (0.4569, 0.2069, 0.2500)  10 Ni 2.68-2.92, 2 B 2.88, 2 Tm 2.96
Tm (0.5431, 0.7931, 0.7500)  10 Ni 2.68-2.92, 2 B 2.88, 2 Tm 2.96
Zn (0.0000, 0.0000, 0.5000)  6 Ni 2.39-2.43
Zn (0.0000, 0.5000, 0.0000)  6 Ni 2.39-2.43
Ni (0.1190, 0.4001, 0.2823)  1 B 2.00
Ni (0.1190, 0.8367, 0.7189)  1 B 2.00
Ni (0.1943, 0.9443, 0.2500)  2 B 2.04
Ni (0.2610, 0.5110, 0.7500)  8 Ni 2.56-2.67
Ni (0.3822, 0.1633, 0.7823)  1 B 2.00
Ni (0.3822, 0.5999, 0.2189)  1 B 2.00
Ni (0.6178, 0.4001, 0.7811)  1 B 2.00
Ni (0.6178, 0.8367, 0.2177)  1 B 2.00
Ni (0.7390, 0.4890, 0.2500)  8 Ni 2.56-2.67
Ni (0.8057, 0.0557, 0.7500)  2 B 2.04
Ni (0.8810, 0.1633, 0.2811)  1 B 2.00
Ni (0.8810, 0.5999, 0.7177)  1 B 2.00
B (0.0000, 0.0000, 0.0000)  6 Ni 2.00-2.04
B (0.5000, 0.0000, 0.5000)  6 Ni 2.00-2.04

# 4
VASP calculation (PBE) on a geometry-optimized UNiB4 structure.

symmetry: Pbam
ΔE_f: -454 meV/atom
total magnetic moment: 0.896 μB per formula unit
excess energy over the best structure of this formula in the dataset: 0.188 eV/f.u.
uncorrected energy: -186.00 eV for the cell shown

a = 5.8966 Å, b = 11.4389 Å, c = 3.4104 Å
α = 90.00°, β = 90.00°, γ = 90.00°
Last column: nearest neighbours and their distance in Å.
Fractional coordinates of all 24 atoms:
U (0.1255, 0.1505, 0.0000)  14 B 2.58-2.70
U (0.3745, 0.6505, 0.0000)  14 B 2.58-2.70
U (0.6255, 0.3495, 0.0000)  14 B 2.58-2.70
U (0.8745, 0.8495, 0.0000)  14 B 2.58-2.70
Ni (0.1292, 0.4139, 0.0000)  10 B 2.26-2.30, 1 Ni 2.49
Ni (0.3708, 0.9139, 0.0000)  10 B 2.26-2.30, 1 Ni 2.49
Ni (0.6292, 0.0861, 0.0000)  10 B 2.26-2.30, 1 Ni 2.49
Ni (0.8708, 0.5861, 0.0000)  10 B 2.26-2.30, 1 Ni 2.49
B (0.0285, 0.6938, 0.5000)  3 B 1.75-1.85
B (0.1142, 0.5471, 0.5000)  3 B 1.72-1.75
B (0.1330, 0.9672, 0.5000)  3 B 1.74-1.83
B (0.2155, 0.8127, 0.5000)  3 B 1.75-1.85
B (0.2845, 0.3127, 0.5000)  3 B 1.75-1.85
B (0.3670, 0.4672, 0.5000)  3 B 1.74-1.83
B (0.3858, 0.0471, 0.5000)  3 B 1.72-1.75
B (0.4715, 0.1938, 0.5000)  3 B 1.75-1.85
B (0.5285, 0.8062, 0.5000)  3 B 1.75-1.85
B (0.6142, 0.9529, 0.5000)  3 B 1.72-1.75
B (0.6330, 0.5328, 0.5000)  3 B 1.74-1.83
B (0.7155, 0.6873, 0.5000)  3 B 1.75-1.85
B (0.7845, 0.1873, 0.5000)  3 B 1.75-1.85
B (0.8670, 0.0328, 0.5000)  3 B 1.74-1.83
B (0.8858, 0.4529, 0.5000)  3 B 1.72-1.75
B (0.9715, 0.3062, 0.5000)  3 B 1.75-1.85

# 5
VASP calculation (PBE) on a geometry-optimized UNi4B2 structure.

symmetry: Cmmm
ΔE_f: -269 meV/atom
total magnetic moment: 1.563 μB per formula unit
uncorrected energy: -49.65 eV for the cell shown

a = 6.3152 Å, b = 6.3152 Å, c = 3.6149 Å
α = 90.00°, β = 90.00°, γ = 147.16°
Last column: nearest neighbours and their distance in Å.
Fractional coordinates of all 7 atoms:
U (0.0000, 0.0000, 0.0000)  8 B 2.71, 8 Ni 2.74-2.79
Ni (0.1753, 0.8247, 0.5000)  2 B 2.14
Ni (0.3282, 0.6718, 0.0000)  2 B 2.13
Ni (0.6718, 0.3282, 0.0000)  2 B 2.13
Ni (0.8247, 0.1753, 0.5000)  2 B 2.14
B (0.4220, 0.5780, 0.5000)  1 B 1.89
B (0.5780, 0.4220, 0.5000)  1 B 1.89

# 6
VASP calculation (PBE) on a geometry-optimized UNi2B2 structure.

symmetry: Imma
ΔE_f: -306 meV/atom
total magnetic moment: 0.728 μB per formula unit
excess energy over the best structure of this formula in the dataset: 0.000 eV/f.u.
uncorrected energy: -75.48 eV for the cell shown

a = 9.0843 Å, b = 9.0843 Å, c = 9.0843 Å
α = 159.78°, β = 154.68°, γ = 32.62°
Last column: nearest neighbours and their distance in Å.
Fractional coordinates of all 10 atoms:
U (0.4323, 0.1823, 0.2500)  10 B 2.58-2.76, 2 Ni 2.66, 2 U 2.85
U (0.5677, 0.8177, 0.7500)  10 B 2.58-2.76, 2 Ni 2.66, 2 U 2.85
Ni (0.1975, 0.9475, 0.2500)  2 B 2.00
Ni (0.3099, 0.5599, 0.7500)  2 B 2.26, 2 Ni 2.53
Ni (0.6901, 0.4401, 0.2500)  2 B 2.26, 2 Ni 2.53
Ni (0.8025, 0.0525, 0.7500)  2 B 2.00
B (0.0263, 0.2763, 0.7500)  3 B 1.78-1.84
B (0.1283, 0.3783, 0.7500)  1 B 1.78
B (0.8717, 0.6217, 0.2500)  1 B 1.78
B (0.9737, 0.7237, 0.2500)  3 B 1.78-1.84